DFT (GGA+U) results for an optimized crystal structure of Li2MoRuO6.

Properties
Calculated total energy: -6.47 eV/atom
Symmetry: P4mm, No. 99

a b c (Å): 5.6032 5.6032 3.8235
angles (deg): 90.00 90.00 90.00
Last column: nearest neighbours and their distance in Å.
Fractional coordinates of all 10 atoms:
1 Li 0.0000 0.5000 0.0000  4 O 2.02
2 Li 0.5000 0.0000 0.0000  4 O 2.02
3 Mo 0.0000 0.0000 0.8536  6 O 1.81-2.01
4 Ru 0.5000 0.5000 0.8865  6 O 1.91-2.03
5 O 0.0000 0.0000 0.3805  2 Mo 1.81-2.01
6 O 0.2439 0.2439 0.8931  1 Mo 1.94, 2 Li 2.02, 1 Ru 2.03
7 O 0.2439 0.7561 0.8931  1 Mo 1.94, 2 Li 2.02, 1 Ru 2.03
8 O 0.5000 0.5000 0.3876  2 Ru 1.91-1.92
9 O 0.7561 0.2439 0.8931  1 Mo 1.94, 2 Li 2.02, 1 Ru 2.03
10 O 0.7561 0.7561 0.8931  1 Mo 1.94, 2 Li 2.02, 1 Ru 2.03